A plane-wave DFT calculation with PBE was carried out for a geometry-optimized LaInAsO5 structure.

Results
Symmetry: No. 15
Formation energy without anion corrections, eV/atom: -1.93
Total DFT energy (no corrections), eV per atom: -6.57
DOS at the Fermi energy, states/eV per atom: 0.21
Magnetization, μB per formula unit: 0.8
Volume, Å³/atom: 15.07

Lattice parameters (Å, degrees): 5.968 5.968 7.788 106.42 106.42 102.79
Last column: magnetic moment on the atom in μB.
Positions (direct):
1 O 0.655 0.105 0.403  0.17
2 As 0.310 0.690 0.750  0.16
3 La 0.323 0.677 0.250  0.03
4 O 0.264 0.390 0.588  0.06
5 In 0.000 0.000 0.000  0.00
6 O 0.610 0.736 0.912  0.06
7 La 0.677 0.323 0.750  0.03
8 As 0.690 0.310 0.250  0.16
9 O 0.895 0.345 0.097  0.17
10 O 0.078 0.922 0.250  0.01
11 O 0.345 0.895 0.597  0.17
12 O 0.390 0.264 0.088  0.06
13 O 0.736 0.610 0.412  0.06
14 O 0.105 0.655 0.903  0.17
15 In 0.000 0.000 0.500  0.00
16 O 0.922 0.078 0.750  0.01

---

A plane-wave DFT calculation with PBE was carried out for a geometry-optimized LaIn2AsPb structure.

Results
Symmetry: No. 123
Total DFT energy (no corrections), eV per atom: -3.86
DOS at the Fermi energy, states/eV per atom: 0.74
Magnetization, μB per formula unit: 0.0
Energy relative to the elements, eV per atom: -0.11
Volume, Å³/atom: 32.56

Lattice parameters (Å, degrees): 5.299 5.798 5.299 90.00 90.00 90.00
Positions (direct):
1 In 0.500 0.000 0.000
2 As 0.000 0.000 0.000
3 Pb 0.500 0.500 0.500
4 In 0.000 0.000 0.500
5 La 0.000 0.500 0.000

---

A plane-wave DFT calculation with PBE was carried out for a geometry-optimized La2InAs3Pt4 structure.

Results
Symmetry: No. 115
Total DFT energy (no corrections), eV per atom: -5.97
DOS at the Fermi energy, states/eV per atom: 0.40
Magnetization, μB per formula unit: 0.0
Energy relative to the elements, eV per atom: -0.90
Volume, Å³/atom: 20.74

Lattice parameters (Å, degrees): 4.388 4.388 10.774 90.00 90.00 90.00
Positions (direct):
1 As 0.000 0.500 0.128
2 In 0.500 0.500 0.500
3 As 0.500 0.000 0.872
4 Pt 0.000 0.000 0.000
5 Pt 0.500 0.000 0.645
6 Pt 0.000 0.500 0.355
7 La 0.000 0.500 0.768
8 Pt 0.500 0.500 0.000
9 La 0.500 0.000 0.232
10 As 0.000 0.000 0.500

---

A plane-wave DFT calculation with PBE was carried out for a geometry-optimized LaInAs2Rh5 structure.

Results
Symmetry: No. 123
Total DFT energy (no corrections), eV per atom: -6.46
DOS at the Fermi energy, states/eV per atom: 0.42
Magnetization, μB per formula unit: 0.0
Energy relative to the elements, eV per atom: -0.49
Volume, Å³/atom: 20.17

Lattice parameters (Å, degrees): 4.128 4.128 10.653 90.00 90.00 90.00
Positions (direct):
1 La 0.000 0.000 0.500
2 As 0.500 0.500 0.724
3 Rh 0.500 0.500 0.500
4 Rh 0.500 0.000 0.835
5 As 0.500 0.500 0.276
6 Rh 0.000 0.500 0.835
7 In 0.000 0.000 0.000
8 Rh 0.000 0.500 0.165
9 Rh 0.500 0.000 0.165

---

A plane-wave DFT calculation with PBE was carried out for a geometry-optimized La2InAs3Rh4 structure.

Results
Symmetry: No. 115
Total DFT energy (no corrections), eV per atom: -6.47
DOS at the Fermi energy, states/eV per atom: 0.48
Magnetization, μB per formula unit: 0.0
Energy relative to the elements, eV per atom: -0.88
Volume, Å³/atom: 19.52

Lattice parameters (Å, degrees): 4.197 4.197 11.084 90.00 90.00 90.00
Positions (direct):
1 La 0.500 0.000 0.243
2 La 0.000 0.500 0.757
3 Rh 0.000 0.000 0.000
4 Rh 0.500 0.000 0.654
5 Rh 0.000 0.500 0.346
6 In 0.500 0.500 0.500
7 As 0.000 0.000 0.500
8 As 0.000 0.500 0.128
9 Rh 0.500 0.500 0.000
10 As 0.500 0.000 0.872

---

A plane-wave DFT calculation with PBE was carried out for a geometry-optimized La2InAsRh structure.

Results
Symmetry: No. 123
Total DFT energy (no corrections), eV per atom: -4.30
DOS at the Fermi energy, states/eV per atom: 0.79
Magnetization, μB per formula unit: 0.0
Energy relative to the elements, eV per atom: 0.61
Volume, Å³/atom: 34.38

Lattice parameters (Å, degrees): 5.952 4.852 5.952 90.00 90.00 90.00
Positions (direct):
1 Rh 0.500 0.500 0.500
2 As 0.000 0.500 0.000
3 La 0.500 0.000 0.000
4 In 0.000 0.000 0.000
5 La 0.000 0.000 0.500

---

A plane-wave DFT calculation with PBE was carried out for a geometry-optimized LaIn2AsRu structure.

Results
Symmetry: No. 123
Total DFT energy (no corrections), eV per atom: -3.43
DOS at the Fermi energy, states/eV per atom: 1.63
Magnetization, μB per formula unit: 3.0
Energy relative to the elements, eV per atom: 1.43
Volume, Å³/atom: 40.64

Lattice parameters (Å, degrees): 6.096 5.467 6.096 90.00 90.00 90.00
Last column: magnetic moment on the atom in μB.
Positions (direct):
1 La 0.000 0.000 0.000  0.03
2 In 0.500 0.000 0.000  -0.01
3 As 0.000 0.500 0.000  0.10
4 In 0.000 0.000 0.500  -0.02
5 Ru 0.500 0.500 0.500  2.56

---

A plane-wave DFT calculation with PBE was carried out for a geometry-optimized LaInAsSe2 structure.

Results
Symmetry: No. 123
Formation energy without anion corrections, eV/atom: -0.23
Total DFT energy (no corrections), eV per atom: -4.08
DOS at the Fermi energy, states/eV per atom: 0.91
Magnetization, μB per formula unit: 1.5
Volume, Å³/atom: 38.26

Lattice parameters (Å, degrees): 5.749 5.749 5.787 90.00 90.00 90.00
Last column: magnetic moment on the atom in μB.
Positions (direct):
1 As 0.000 0.000 0.500  0.47
2 La 0.000 0.000 0.000  0.04
3 Se 0.500 0.000 0.000  0.10
4 Se 0.000 0.500 0.000  0.10
5 In 0.500 0.500 0.500  0.01

---

A plane-wave DFT calculation with PBE was carried out for a geometry-optimized LaInAsSe2 structure.

Results
Symmetry: No. 123
Formation energy without anion corrections, eV/atom: -0.44
Total DFT energy (no corrections), eV per atom: -4.29
DOS at the Fermi energy, states/eV per atom: 0.55
Magnetization, μB per formula unit: 0.0
Volume, Å³/atom: 29.68

Lattice parameters (Å, degrees): 5.335 5.335 5.215 90.00 90.00 90.00
Positions (direct):
1 Se 0.500 0.000 0.000
2 La 0.500 0.500 0.500
3 Se 0.000 0.500 0.000
4 As 0.000 0.000 0.500
5 In 0.000 0.000 0.000

---

A plane-wave DFT calculation with PBE was carried out for a geometry-optimized LaInAs2Se structure.

Results
Symmetry: No. 123
Formation energy without anion corrections, eV/atom: -0.14
Total DFT energy (no corrections), eV per atom: -4.23
DOS at the Fermi energy, states/eV per atom: 1.21
Magnetization, μB per formula unit: 0.0
Volume, Å³/atom: 30.94

Lattice parameters (Å, degrees): 5.297 5.297 5.514 90.00 90.00 90.00
Positions (direct):
1 As 0.000 0.500 0.000
2 In 0.000 0.000 0.000
3 Se 0.000 0.000 0.500
4 La 0.500 0.500 0.500
5 As 0.500 0.000 0.000

---

A plane-wave DFT calculation with PBE was carried out for a geometry-optimized LaInAs2Se structure.

Results
Symmetry: No. 123
Formation energy without anion corrections, eV/atom: 0.12
Total DFT energy (no corrections), eV per atom: -3.97
DOS at the Fermi energy, states/eV per atom: 1.14
Magnetization, μB per formula unit: 1.6
Volume, Å³/atom: 40.51

Lattice parameters (Å, degrees): 5.910 5.910 5.800 90.00 90.00 90.00
Last column: magnetic moment on the atom in μB.
Positions (direct):
1 In 0.500 0.500 0.500  0.01
2 As 0.000 0.500 0.000  0.29
3 As 0.500 0.000 0.000  0.29
4 La 0.000 0.000 0.000  0.03
5 Se 0.000 0.000 0.500  0.12

---

A plane-wave DFT calculation with PBE was carried out for a geometry-optimized LaInTeAs2 structure.

Results
Symmetry: No. 123
Formation energy without anion corrections, eV/atom: -0.07
Total DFT energy (no corrections), eV per atom: -4.09
DOS at the Fermi energy, states/eV per atom: 1.19
Magnetization, μB per formula unit: 0.0
Volume, Å³/atom: 30.59

Lattice parameters (Å, degrees): 5.138 5.794 5.138 90.00 90.00 90.00
Positions (direct):
1 As 0.000 0.000 0.500
2 La 0.500 0.500 0.500
3 As 0.500 0.000 0.000
4 Te 0.000 0.500 0.000
5 In 0.000 0.000 0.000